# 1
First-principles (PBE) data for a geometry-optimized Cs2NaPmI6 structure, as listed in the Alexandria database.

a = 8.8474 Å, b = 12.5127 Å, c = 8.8490 Å
α = 90.00°, β = 90.00°, γ = 90.00°
Space group Pmmn (No. 59, origin choice 2)
Symmetry-distinct sites (fractional):
Cs: 0.2500 0.0006 0.2493 (multiplicity 4)
Na: 0.2500 0.2500 0.7501 (multiplicity 2)
Pm: 0.2500 0.7500 0.7501 (multiplicity 2)
I: 0.0026 0.7500 0.5035 (multiplicity 4)
I: 0.0032 0.7500 0.9974 (multiplicity 4)
I: 0.2500 0.5030 0.7509 (multiplicity 4)

Values from the calculation:
Energy relative to the elements, uncorrected = -14.54 eV per formula unit



# 2
First-principles (PBE) data for a geometry-optimized BaHf3Co structure, as listed in the Alexandria database.

a = 5.0043 Å, b = 5.0043 Å, c = 5.0043 Å
α = 90.00°, β = 90.00°, γ = 90.00°
Space group Pm-3m (No. 221)
Symmetry-distinct sites (fractional):
Ba: 0.0000 0.0000 0.0000 (multiplicity 1)
Hf: 0.0000 0.5000 0.5000 (multiplicity 3)
Co: 0.5000 0.5000 0.5000 (multiplicity 1)

Values from the calculation:
Total energy = -37.3 eV for the cell shown



Copy entry 2 word for word.
First-principles (PBE) data for a geometry-optimized BaHf3Co structure, as listed in the Alexandria database.

a = 5.0043 Å, b = 5.0043 Å, c = 5.0043 Å
α = 90.00°, β = 90.00°, γ = 90.00°
Space group Pm-3m (No. 221)
Symmetry-distinct sites (fractional):
Ba: 0.0000 0.0000 0.0000 (multiplicity 1)
Hf: 0.0000 0.5000 0.5000 (multiplicity 3)
Co: 0.5000 0.5000 0.5000 (multiplicity 1)

Values from the calculation:
Total energy = -37.3 eV for the cell shown